Li4V5O9F after structural relaxation. Source: Alexandria via LeMat-Bulk, functional PBE+U.

Summary:
DFT total energy (eV/atom): -6.940
Spin magnetization (μB/atom): 0.5263
SG: P1, No. 1
Distance to the lowest polymorph of the same formula (meV/atom): 10.7
Crystal system: triclinic

Unit cell a=5.2310 b=5.1977 c=8.0153 alpha=71.11 beta=70.64 gamma=79.21
Last column: nearest neighbours and their distance in Å.
Element x y z (fractional)
O 0.7829 0.5338 0.6521  3 V 1.98-2.07, 1 Li 2.10
Li 0.5176 0.3192 0.8981  4 O 2.08-2.16, 1 F 2.24
V 0.9955 0.6176 0.7992  5 O 2.02-2.05, 1 F 2.13
Li 0.5006 0.7154 0.0899  5 O 2.09-2.24
F 0.2439 0.2592 0.7523  3 V 2.13-2.22, 2 Li 2.22-2.24
O 0.2150 0.6450 0.9618  3 V 2.03-2.05, 2 Li 2.16-2.21
O 0.7781 0.3565 0.0348  3 V 2.05-2.09, 2 Li 2.08-2.21
V 0.9989 0.9960 0.0068  5 O 2.00-2.08, 1 F 2.19
O 0.7671 0.7476 0.2502  3 V 2.04-2.08, 3 Li 2.12-2.24
O 0.2224 0.4392 0.3613  3 V 2.04-2.10, 2 Li 2.13-2.19
Li 0.4920 0.0911 0.3173  5 O 2.12-2.29
V 0.9878 0.7934 0.4050  6 O 2.02-2.13
O 0.2258 0.0427 0.1541  3 V 2.02-2.13, 1 Li 2.09
O 0.2120 0.8450 0.5527  3 V 2.02-2.03, 2 Li 2.16-2.19
Li 0.5053 0.5043 0.4893  5 O 2.12-2.30, 1 F 2.22
O 0.7827 0.9679 0.8501  3 V 2.00-2.04, 2 Li 2.13-2.19
V 0.9990 0.3948 0.1988  6 O 2.00-2.10
V 0.9902 0.1948 0.5978  5 O 1.98-2.06, 1 F 2.22
O 0.7749 0.1580 0.4337  3 V 2.00-2.06, 2 Li 2.12-2.14